Entry 1:
Here is an optimized crystal structure of Nd2AlHPd6 from the Alexandria database. Energies are from PBE.

Structure (CIF):
```
data_Nd2AlHPd6
_chemical_formula_sum 'Nd2 Al1 H1 Pd6'
_cell_length_a 5.777
_cell_length_b 5.786
_cell_length_c 6.868
_cell_angle_alpha 65.34
_cell_angle_beta 89.95
_cell_angle_gamma 60.05
_space_group_name_H-M_alt 'P -1'
_space_group_IT_number 2
loop_
_space_group_symop_operation_xyz
'x,y,z'
'-x,-y,-z'
loop_
_atom_site_label
_atom_site_type_symbol
_atom_site_fract_x
_atom_site_fract_y
_atom_site_fract_z
Nd1 Nd 0.228 0.044 0.182
Al1 Al 0.500 0.500 0.000
H1 H 0.000 0.500 0.500
Pd1 Pd 0.230 0.039 0.691
Pd2 Pd 0.230 0.539 0.691
Pd3 Pd 0.269 0.460 0.309
```

Values from the calculation:
calculated total energy = -55.11 eV/f.u.


Entry 2:
Here is an optimized crystal structure of Th4CrI5 from the Alexandria database. Energies are from PBE.

Structure (CIF):
```
data_Th4CrI5
_chemical_formula_sum 'Th8 Cr2 I10'
_cell_length_a 19.980
_cell_length_b 4.098
_cell_length_c 9.299
_cell_angle_alpha 90.00
_cell_angle_beta 103.51
_cell_angle_gamma 90.00
_space_group_name_H-M_alt 'C 1 2/m 1'
_space_group_IT_number 12
loop_
_space_group_symop_operation_xyz
'x,y,z'
'-x,-y,-z'
'-x,y,-z'
'x,-y,z'
'x+1/2,y+1/2,z'
'-x+1/2,-y+1/2,-z'
'-x+1/2,y+1/2,-z'
'x+1/2,-y+1/2,z'
loop_
_atom_site_label
_atom_site_type_symbol
_atom_site_fract_x
_atom_site_fract_y
_atom_site_fract_z
Th1 Th 0.002 0.000 0.308
Th2 Th 0.142 0.500 0.578
Cr1 Cr 0.000 0.500 0.500
I1 I 0.000 0.500 0.000
I2 I 0.166 0.000 0.856
I3 I 0.175 0.000 0.325
```

Values from the calculation:
uncorrected formation energy = -0.67 eV/atom
calculated total energy = -53.76 eV/f.u.


Entry 3:
Here is an optimized crystal structure of Sr2ZnRe from the Alexandria database. Energies are from PBE.

Structure (CIF):
```
data_Sr2ZnRe
_chemical_formula_sum 'Sr4 Zn2 Re2'
_cell_length_a 11.830
_cell_length_b 3.172
_cell_length_c 5.702
_cell_angle_alpha 90.00
_cell_angle_beta 107.40
_cell_angle_gamma 90.00
_space_group_name_H-M_alt 'C 1 m 1'
_space_group_IT_number 8
loop_
_space_group_symop_operation_xyz
'x,y,z'
'x,-y,z'
'x+1/2,y+1/2,z'
'x+1/2,-y+1/2,z'
loop_
_atom_site_label
_atom_site_type_symbol
_atom_site_fract_x
_atom_site_fract_y
_atom_site_fract_z
Sr1 Sr 0.000 0.000 0.000
Sr2 Sr 0.191 0.000 0.625
Zn1 Zn 0.421 0.000 0.438
Re1 Re 0.259 0.500 0.164
```

Values from the calculation:
calculated total energy = -14.79 eV/f.u.
formation enthalpy at 0 K = 0.574 eV per atom


Entry 4:
Here is an optimized crystal structure of NaCa2H6 from the Alexandria database. Energies are from PBE.

Structure (CIF):
```
data_NaCa2H6
_chemical_formula_sum 'Na4 Ca8 H24'
_cell_length_a 7.306
_cell_length_b 7.306
_cell_length_c 7.306
_cell_angle_alpha 90.00
_cell_angle_beta 90.00
_cell_angle_gamma 90.00
_space_group_name_H-M_alt 'F m -3 m'
_space_group_IT_number 225
_space_group_name_Hall '-F 4 2 3'
loop_
_atom_site_label
_atom_site_type_symbol
_atom_site_fract_x
_atom_site_fract_y
_atom_site_fract_z
Na1 Na 0.000 0.000 0.000
Ca1 Ca 0.250 0.250 0.250
H1 H 0.000 0.000 0.280
```

Values from the calculation:
calculated total energy = -25.40 eV/f.u.